La2TaIn: relaxed, GGA-PBE.

Cell: 3.3365 4.4469 7.5385 Å, 90.00 90.00 90.00°
Fractional coordinates of all 4 atoms:
In 0.5000 0.5000 0.7500
La 0.0000 0.0000 0.0115
La 0.0000 0.0000 0.4885
Ta 0.5000 0.5000 0.2500

- Calculated formation energy: 0.177 eV per atom
- Fermi-level density of states: 4.47 states/eV per cell
- Symmetry: Pmmm, No. 47

***

LiInCu: relaxed, GGA-PBE.

Cell: 3.0835 3.0835 6.6016 Å, 90.00 90.00 120.00°
Fractional coordinates of all 3 atoms:
Cu 0.0000 0.0000 0.9924
In 0.3333 0.6667 0.3203
Li 0.6667 0.3333 0.6873

- Calculated formation energy: 0.088 eV per atom
- Fermi-level density of states: 1.21 states/eV per cell
- Symmetry: P3m1, No. 156

***

Sm2MgMnSe5: relaxed, GGA-PBE.

Cell: 4.0785 8.9010 12.0538 Å, 90.00 90.00 103.24°
Each line ends with the local moment (μB).
Fractional coordinates of all 18 atoms:
Sm 0.8702 0.7405 0.8031  0.06
Sm 0.1133 0.2265 0.6863  0.04
Sm 0.1298 0.2595 0.3031  0.06
Sm 0.8867 0.7735 0.1863  0.04
Mg 0.7950 0.5899 0.5141  0.00
Mg 0.2050 0.4101 0.0141  0.00
Mn 0.5638 0.1276 0.9573  4.11
Mn 0.4362 0.8724 0.4573  4.11
Se 0.3574 0.7148 0.9998  0.01
Se 0.6911 0.3821 0.8507  0.05
Se 0.4981 0.9962 0.7772  0.03
Se 0.2867 0.5734 0.6663  0.03
Se 0.9519 0.9037 0.5692  0.06
Se 0.6426 0.2852 0.4998  0.01
Se 0.3089 0.6179 0.3507  0.05
Se 0.5019 0.0038 0.2772  0.03
Se 0.7133 0.4266 0.1663  0.03
Se 0.0481 0.0963 0.0692  0.06

- Formation energy (no corrections): -1.38 eV per atom
- Fermi-level density of states: 0.38 states/eV per cell
- Symmetry: Cmc2_1, No. 36

***

CaTlSn: relaxed, GGA-PBE.

Cell: 5.5303 6.6005 9.3641 Å, 90.00 90.00 90.00°
Fractional coordinates of all 12 atoms:
Sn 0.5000 0.2499 0.7499
Sn 0.0000 0.7499 0.2501
Sn 0.5000 0.7501 0.7499
Sn 0.0000 0.2501 0.2501
Ca 0.0000 0.5000 0.5833
Ca 0.0000 0.0000 0.9166
Ca 0.5000 0.0000 0.4167
Ca 0.5000 0.5000 0.0834
Tl 0.0000 0.0000 0.5812
Tl 0.0000 0.5000 0.9188
Tl 0.5000 0.0000 0.0812
Tl 0.5000 0.5000 0.4188

- Calculated formation energy: -0.337 eV per atom
- Offset from the most stable computed form: 0.01 eV/f.u.
- Fermi-level density of states: 5.18 states/eV per cell
- Symmetry: Cmcm, No. 63